--- A ---
## Sm2Dy4Tm (PBE-GGA)

Data for a relaxed structure of Sm2Dy4Tm.

Values from the calculation:
SG: P2_1/m, No. 11
Calculated volume (Å³ per atom): 32.1

Cell lengths 6.0958, 6.5879, 11.5309 Å; angles 90.00, 103.94, 90.00 degrees
Last column: nearest neighbours and their distance in Å.
Fractional coordinates of all 14 atoms:
1 Dy 0.0265 0.7500 0.8578  3 Sm 3.33-3.49, 2 Dy 3.34, 3 Tm 3.38-3.45
2 Dy 0.8501 0.2500 0.5547  1 Tm 3.29, 4 Sm 3.35-3.42, 4 Dy 3.47-3.53
3 Tm 0.8529 0.2500 0.8407  6 Dy 3.29-3.46, 1 Sm 3.41
4 Sm 0.7124 0.7500 0.5740  9 Dy 3.35-3.61
5 Sm 0.6030 0.7500 0.9938  6 Dy 3.33-3.70, 1 Tm 3.41, 2 Sm 3.54
6 Dy 0.6505 0.5070 0.2878  5 Dy 3.20-3.53, 1 Tm 3.46, 1 Sm 3.46
7 Dy 0.6505 0.9930 0.2878  5 Dy 3.20-3.53, 1 Tm 3.46, 1 Sm 3.46
8 Sm 0.3970 0.2500 0.0062  6 Dy 3.33-3.70, 1 Tm 3.41, 2 Sm 3.54
9 Dy 0.9735 0.2500 0.1422  3 Sm 3.33-3.49, 2 Dy 3.34, 3 Tm 3.38-3.45
10 Dy 0.3495 0.4930 0.7122  5 Dy 3.20-3.53, 1 Tm 3.46, 1 Sm 3.46
11 Tm 0.1471 0.7500 0.1593  6 Dy 3.29-3.46, 1 Sm 3.41
12 Dy 0.3495 0.0070 0.7122  5 Dy 3.20-3.53, 1 Tm 3.46, 1 Sm 3.46
13 Dy 0.1499 0.7500 0.4453  1 Tm 3.29, 4 Sm 3.35-3.42, 4 Dy 3.47-3.53
14 Sm 0.2876 0.2500 0.4260  9 Dy 3.35-3.61



--- B ---
## Sm2Dy4Tm (PBE-GGA)

Data for a relaxed structure of Sm2Dy4Tm.

Values from the calculation:
SG: C2/m, No. 12
Calculated volume (Å³ per atom): 32.5

Cell lengths 3.6182, 14.8258, 17.2994 Å; angles 101.39, 90.00, 90.00 degrees
Last column: nearest neighbours and their distance in Å.
Fractional coordinates of all 28 atoms:
1 Tm 0.0000 0.5000 0.0000  2 Dy 3.22
2 Tm 0.0000 0.0000 0.5000  6 Dy 3.38-3.77, 2 Tm 3.62, 4 Sm 3.67
3 Sm 0.5000 0.8951 0.6441  4 Dy 3.23-3.55
4 Dy 0.0000 0.3053 0.4434  6 Dy 3.33-3.62, 2 Tm 3.38, 3 Sm 3.47-3.55
5 Dy 0.5000 0.9773 0.1815  1 Tm 3.22, 3 Sm 3.23-3.40, 4 Dy 3.26-3.33
6 Dy 0.0000 0.1796 0.9302  6 Dy 3.26-3.62, 2 Sm 3.59, 2 Tm 3.62
7 Dy 0.0000 0.1370 0.7083  6 Dy 3.33-3.62, 2 Sm 3.69
8 Dy 0.0000 0.6947 0.5566  6 Dy 3.33-3.62, 2 Tm 3.38, 3 Sm 3.47-3.55
9 Dy 0.5000 0.8053 0.4433  6 Dy 3.33-3.62, 2 Tm 3.38, 3 Sm 3.46-3.55
10 Dy 0.0000 0.4774 0.1815  1 Tm 3.22, 3 Sm 3.23-3.40, 4 Dy 3.26-3.33
11 Dy 0.5000 0.3204 0.0698  6 Dy 3.26-3.62, 2 Sm 3.59, 2 Tm 3.62
12 Sm 0.0000 0.1688 0.1701  6 Dy 3.40-3.69, 2 Sm 3.62
13 Dy 0.0000 0.8630 0.2917  6 Dy 3.33-3.62, 2 Sm 3.69
14 Dy 0.5000 0.1947 0.5567  6 Dy 3.33-3.62, 2 Tm 3.38, 3 Sm 3.46-3.55
15 Dy 0.5000 0.3630 0.2917  6 Dy 3.33-3.62, 2 Sm 3.69
16 Sm 0.5000 0.1049 0.3559  4 Dy 3.23-3.55
17 Dy 0.5000 0.6796 0.9302  6 Dy 3.26-3.62, 2 Sm 3.59, 2 Tm 3.62
18 Sm 0.0000 0.6050 0.3559  4 Dy 3.23-3.55
19 Sm 0.5000 0.3312 0.8299  6 Dy 3.40-3.69, 2 Sm 3.62
20 Sm 0.5000 0.6688 0.1701  6 Dy 3.40-3.69, 2 Sm 3.62
21 Dy 0.5000 0.6370 0.7083  6 Dy 3.33-3.62, 2 Sm 3.69
22 Dy 0.0000 0.5226 0.8185  1 Tm 3.22, 3 Sm 3.23-3.40, 4 Dy 3.26-3.33
23 Sm 0.0000 0.8312 0.8299  6 Dy 3.40-3.69, 2 Sm 3.62
24 Dy 0.0000 0.8204 0.0698  6 Dy 3.26-3.62, 2 Sm 3.59, 2 Tm 3.62
25 Sm 0.0000 0.3950 0.6441  4 Dy 3.23-3.55
26 Tm 0.5000 0.5000 0.5000  6 Dy 3.38-3.77, 2 Tm 3.62, 4 Sm 3.67
27 Dy 0.5000 0.0227 0.8185  1 Tm 3.22, 3 Sm 3.23-3.40, 4 Dy 3.26-3.33
28 Tm 0.5000 0.0000 0.0000  2 Dy 3.22



Most stable structure, least stable structure: B, A.



--- A ---
## Sm5Dy2Tm2 (PBE-GGA)

Data for a relaxed structure of Sm5Dy2Tm2.

Values from the calculation:
SG: Ima2, No. 46
Calculated volume (Å³ per atom): 32.9

Cell lengths 12.8024, 6.1572, 10.3416 Å; angles 107.32, 128.24, 90.00 degrees
Last column: nearest neighbours and their distance in Å.
Fractional coordinates of all 18 atoms:
1 Sm 0.5423 0.3103 0.7124  5 Sm 3.19-3.57, 2 Dy 3.24-3.49, 2 Tm 3.39-3.51
2 Tm 0.4137 0.8128 0.7293  6 Sm 3.39-3.58, 2 Dy 3.43-3.44, 1 Tm 3.45
3 Sm 0.2522 0.7459 0.9037  5 Sm 3.34-3.57, 2 Tm 3.50-3.57, 1 Dy 3.66
4 Sm 0.1515 0.2459 0.9037  5 Sm 3.34-3.57, 2 Tm 3.50-3.57, 1 Dy 3.66
5 Dy 0.0000 0.8856 0.0000  2 Sm 3.24, 2 Tm 3.43
6 Sm 0.3299 0.0979 0.2876  5 Sm 3.19-3.57, 2 Dy 3.24-3.49, 2 Tm 3.39-3.51
7 Sm 0.0719 0.7926 0.5000  3 Dy 3.31-3.61, 4 Sm 3.41-3.59, 2 Tm 3.43
8 Dy 0.8049 0.7651 0.5000  5 Sm 3.31-3.61, 2 Tm 3.44
9 Dy 0.5000 0.3856 0.0000  2 Sm 3.24, 2 Tm 3.43
10 Tm 0.5863 0.0836 0.2707  6 Sm 3.39-3.58, 2 Dy 3.43-3.44, 1 Tm 3.45
11 Sm 0.7478 0.8422 0.0963  5 Sm 3.34-3.57, 2 Tm 3.50-3.57, 1 Dy 3.66
12 Sm 0.8485 0.3422 0.0963  5 Sm 3.34-3.57, 2 Tm 3.50-3.57, 1 Dy 3.66
13 Dy 0.1951 0.2651 0.5000  5 Sm 3.31-3.61, 2 Tm 3.44
14 Tm 0.8155 0.3128 0.7292  6 Sm 3.39-3.58, 2 Dy 3.43-3.44, 1 Tm 3.45
15 Sm 0.9281 0.2926 0.5000  3 Dy 3.31-3.61, 4 Sm 3.41-3.59, 2 Tm 3.43
16 Sm 0.4577 0.5979 0.2876  5 Sm 3.19-3.57, 2 Dy 3.24-3.49, 2 Tm 3.39-3.51
17 Tm 0.1845 0.5836 0.2707  6 Sm 3.39-3.58, 2 Dy 3.43-3.44, 1 Tm 3.45
18 Sm 0.6701 0.8103 0.7124  5 Sm 3.19-3.57, 2 Dy 3.24-3.49, 2 Tm 3.39-3.51



--- B ---
## Sm5Dy2Tm2 (PBE-GGA)

Data for a relaxed structure of Sm5Dy2Tm2.

Values from the calculation:
SG: C2/m, No. 12
Calculated volume (Å³ per atom): 32.4

Cell lengths 5.0591, 9.4567, 8.0041 Å; angles 53.74, 71.58, 74.49 degrees
Last column: nearest neighbours and their distance in Å.
Fractional coordinates of all 9 atoms:
1 Sm 0.2223 0.6652 0.8902  6 Sm 3.56-3.60, 3 Tm 3.57-3.59, 3 Dy 3.58-3.60
2 Sm 0.3336 0.0010 0.3319  7 Sm 3.57-3.60, 2 Tm 3.58-3.60, 3 Dy 3.59
3 Tm 0.5549 0.6641 0.2262  1 Tm 3.53, 4 Dy 3.55-3.56, 7 Sm 3.57-3.60
4 Tm 0.4451 0.3359 0.7738  1 Tm 3.53, 4 Dy 3.55-3.56, 7 Sm 3.57-3.60
5 Dy 0.8905 0.6656 0.5535  1 Dy 3.53, 4 Tm 3.55-3.56, 7 Sm 3.57-3.60
6 Dy 0.1095 0.3344 0.4465  1 Dy 3.53, 4 Tm 3.55-3.56, 7 Sm 3.57-3.60
7 Sm 0.6664 0.9990 0.6681  7 Sm 3.57-3.60, 2 Tm 3.58-3.60, 3 Dy 3.59
8 Sm 0.7777 0.3348 0.1098  6 Sm 3.56-3.60, 3 Tm 3.57-3.59, 3 Dy 3.58-3.60
9 Sm 0.0000 0.0000 0.0000  2 Dy 3.57, 6 Sm 3.57-3.58, 4 Tm 3.59



Most stable structure, least stable structure: B, A.



--- A ---
## Sm3DyTm5 (PBE-GGA)

Data for a relaxed structure of Sm3DyTm5.

Values from the calculation:
SG: C2/c, No. 15
Calculated volume (Å³ per atom): 32.2

Cell lengths 6.6638, 12.0066, 11.2629 Å; angles 135.54, 90.00, 106.11 degrees
Last column: nearest neighbours and their distance in Å.
Fractional coordinates of all 18 atoms:
1 Tm 0.3186 0.0000 0.7500  1 Dy 3.03, 2 Tm 3.05
2 Tm 0.9467 0.6473 0.5222  1 Tm 3.05, 2 Sm 3.33-3.36
3 Sm 0.0000 0.0000 0.5000  2 Dy 3.20, 2 Tm 3.53
4 Sm 0.6096 0.4741 0.6199  7 Tm 3.33-3.59, 1 Sm 3.57
5 Tm 0.2993 0.3527 0.9778  1 Tm 3.05, 2 Sm 3.33-3.36
6 Dy 0.7730 0.0000 0.7500  1 Tm 3.03, 2 Sm 3.20
7 Tm 0.3890 0.7861 0.3314  5 Tm 3.31-3.59, 4 Sm 3.45-3.69, 1 Dy 3.67
8 Sm 0.8644 0.4741 0.1199  7 Tm 3.33-3.59, 1 Sm 3.57
9 Tm 0.7007 0.6473 0.0222  1 Tm 3.05, 2 Sm 3.33-3.36
10 Tm 0.3972 0.7861 0.8314  5 Tm 3.31-3.59, 4 Sm 3.45-3.69, 1 Dy 3.67
11 Tm 0.0533 0.3527 0.4778  1 Tm 3.05, 2 Sm 3.33-3.36
12 Sm 0.0000 0.0000 0.0000  2 Dy 3.20, 2 Tm 3.53
13 Tm 0.6110 0.2139 0.6686  5 Tm 3.31-3.59, 4 Sm 3.45-3.69, 1 Dy 3.67
14 Tm 0.6028 0.2139 0.1686  5 Tm 3.31-3.59, 4 Sm 3.45-3.69, 1 Dy 3.67
15 Sm 0.3904 0.5259 0.3801  7 Tm 3.33-3.59, 1 Sm 3.57
16 Sm 0.1356 0.5259 0.8801  7 Tm 3.33-3.59, 1 Sm 3.57
17 Tm 0.6814 0.0000 0.2500  1 Dy 3.03, 2 Tm 3.05
18 Dy 0.2270 0.0000 0.2500  1 Tm 3.03, 2 Sm 3.20



--- B ---
## Sm3DyTm5 (PBE-GGA)

Data for a relaxed structure of Sm3DyTm5.

Values from the calculation:
SG: C2/m, No. 12
Calculated volume (Å³ per atom): 35.8

Cell lengths 9.4550, 9.4550, 11.5321 Å; angles 52.45, 52.45, 72.55 degrees
Last column: nearest neighbours and their distance in Å.
Fractional coordinates of all 18 atoms:
1 Tm 0.7393 0.2607 0.0000  1 Sm 2.92
2 Dy 0.1484 0.1484 0.6032  4 Sm 3.21-3.36, 2 Tm 3.37-3.44
3 Tm 0.8117 0.8117 0.9666  3 Sm 3.17-3.28, 3 Tm 3.26-3.29, 1 Dy 3.37
4 Tm 0.2607 0.7393 0.0000  1 Sm 2.92
5 Sm 0.0000 0.0000 0.5000  2 Sm 2.96, 2 Dy 3.26
6 Tm 0.8440 0.3448 0.2475  3 Tm 3.26-3.61, 2 Sm 3.47-3.56
7 Tm 0.6552 0.1560 0.7525  3 Tm 3.26-3.61, 2 Sm 3.47-3.56
8 Tm 0.4902 0.4902 0.2243  3 Sm 3.18-3.34, 3 Tm 3.29-3.32, 1 Dy 3.44
9 Sm 0.2965 0.2965 0.1938  1 Sm 2.96, 3 Tm 3.18-3.28
10 Tm 0.1883 0.1883 0.0334  3 Sm 3.17-3.28, 3 Tm 3.26-3.29, 1 Dy 3.37
11 Tm 0.3448 0.8440 0.2475  3 Tm 3.26-3.61, 2 Sm 3.47-3.56
12 Dy 0.8516 0.8516 0.3968  4 Sm 3.21-3.36, 2 Tm 3.37-3.44
13 Sm 0.0000 0.0000 0.0000  4 Tm 2.92-3.17, 2 Dy 3.23
14 Tm 0.1560 0.6552 0.7525  3 Tm 3.26-3.61, 2 Sm 3.47-3.56
15 Tm 0.5098 0.5098 0.7757  3 Sm 3.18-3.34, 3 Tm 3.29-3.32, 1 Dy 3.44
16 Sm 0.3415 0.3415 0.6328  1 Dy 3.21, 2 Sm 3.22-3.42, 4 Tm 3.24-3.56
17 Sm 0.7035 0.7035 0.8062  1 Sm 2.96, 3 Tm 3.18-3.28
18 Sm 0.6585 0.6585 0.3672  1 Dy 3.21, 2 Sm 3.22-3.42, 4 Tm 3.24-3.56



Most stable structure, least stable structure: A, B.



--- A ---
## Sm4Dy4Tm3 (PBE-GGA)

Data for a relaxed structure of Sm4Dy4Tm3.

Values from the calculation:
SG: P-1, No. 2
Calculated volume (Å³ per atom): 31.8

Cell lengths 3.5157, 5.6210, 18.0176 Å; angles 81.03, 84.39, 90.00 degrees
Last column: nearest neighbours and their distance in Å.
Fractional coordinates of all 11 atoms:
1 Sm 0.4098 0.9097 0.1800  3 Dy 3.18-3.22, 2 Sm 3.52
2 Dy 0.5459 0.5459 0.9089  2 Sm 3.22, 3 Dy 3.23-3.52
3 Sm 0.7322 0.7325 0.5351  4 Dy 3.37-3.57, 6 Sm 3.52-3.54
4 Dy 0.6804 0.1799 0.6403  3 Sm 3.18-3.37, 2 Dy 3.52
5 Dy 0.3196 0.8201 0.3596  3 Sm 3.18-3.37, 2 Dy 3.52
6 Sm 0.5902 0.0904 0.8199  3 Dy 3.18-3.22, 2 Sm 3.52
7 Sm 0.2679 0.2675 0.4648  4 Dy 3.37-3.57, 6 Sm 3.52-3.54
8 Tm 0.8639 0.3642 0.2713  2 Tm 3.52, 6 Dy 3.64-3.67, 6 Sm 3.69-3.85
9 Tm 0.1361 0.6358 0.7287  2 Tm 3.52, 6 Dy 3.64-3.67, 6 Sm 3.69-3.85
10 Tm 0.0000 0.0000 0.0000  2 Tm 3.52, 4 Sm 3.64, 8 Dy 3.69
11 Dy 0.4541 0.4541 0.0912  2 Sm 3.22, 3 Dy 3.23-3.52



--- B ---
## Sm4Dy4Tm3 (PBE-GGA)

Data for a relaxed structure of Sm4Dy4Tm3.

Values from the calculation:
SG: Immm, No. 71
Calculated volume (Å³ per atom): 32.8

Cell lengths 3.5920, 9.3247, 11.8890 Å; angles 113.09, 98.69, 90.00 degrees
Last column: nearest neighbours and their distance in Å.
Fractional coordinates of all 11 atoms:
1 Dy 0.5000 0.1830 0.0000  2 Sm 3.35, 6 Tm 3.39-3.46, 3 Dy 3.41-3.59
2 Sm 0.6435 0.8223 0.2870  3 Sm 3.33-3.59, 4 Dy 3.35-3.65, 2 Tm 3.58
3 Sm 0.3565 0.1777 0.7130  3 Sm 3.33-3.59, 4 Dy 3.35-3.65, 2 Tm 3.58
4 Tm 0.8924 0.8924 0.7849  6 Dy 3.38-3.39, 4 Sm 3.58, 2 Tm 3.59
5 Sm 0.6435 0.4647 0.2869  3 Sm 3.33-3.59, 4 Dy 3.35-3.65, 2 Tm 3.58
6 Sm 0.3565 0.5353 0.7131  3 Sm 3.33-3.59, 4 Dy 3.35-3.65, 2 Tm 3.58
7 Dy 0.2599 0.7599 0.5197  2 Tm 3.38, 6 Sm 3.51-3.65, 2 Dy 3.59
8 Dy 0.7401 0.2401 0.4803  2 Tm 3.38, 6 Sm 3.51-3.65, 2 Dy 3.59
9 Dy 0.5000 0.8170 0.0000  2 Sm 3.35, 6 Tm 3.39-3.46, 3 Dy 3.41-3.59
10 Tm 0.0000 0.5000 0.0000  4 Dy 3.46, 2 Tm 3.59
11 Tm 0.1076 0.1076 0.2151  6 Dy 3.38-3.39, 4 Sm 3.58, 2 Tm 3.59



Most stable structure, least stable structure: A, B.